Record 1
First-principles (SCAN) data for a crystal of La2CdRh relaxed with PBEsol, as listed in Alexandria.

Properties
magnetic moment = 0.00 μB per cell
space-group type = R-3m
energy relative to the elements = -0.57 eV/atom

Cell lengths 4.0245, 4.0245, 8.4903 Å; angles 76.29, 76.29, 60.00 degrees
Fractional positions:
Cd 0.5000 0.5000 0.5000
Rh 0.0000 0.0000 0.0000
La 0.7327 0.7327 0.8019
La 0.2673 0.2673 0.1981



Record 2
First-principles (SCAN) data for a crystal of Na2BiSb2 relaxed with PBEsol, as listed in Alexandria.

Properties
magnetic moment = 0.00 μB per cell
space-group type = P4/mbm
ΔE_f (raw) = -235 meV per atom

Cell lengths 3.2816, 9.0779, 9.0779 Å; angles 90.00, 90.00, 90.00 degrees
Fractional positions:
Sb 0.0000 0.3191 0.8191
Sb 0.0000 0.8191 0.6809
Sb 0.0000 0.6809 0.1809
Sb 0.0000 0.1809 0.3191
Bi 0.0000 0.0000 0.0000
Bi 0.0000 0.5000 0.5000
Na 0.5000 0.1185 0.6185
Na 0.5000 0.6185 0.8815
Na 0.5000 0.8815 0.3815
Na 0.5000 0.3815 0.1185



Record 3
First-principles (SCAN) data for a crystal of Ta2IrF relaxed with PBEsol, as listed in Alexandria.

Properties
magnetic moment = 0.00 μB per cell
space-group type = Fm-3m
ΔE_f (raw) = -689 meV per atom

Cell lengths 4.3888, 4.3888, 4.3888 Å; angles 60.00, 60.00, 60.00 degrees
Fractional positions:
F 0.0000 0.0000 0.0000
Ir 0.5000 0.5000 0.5000
Ta 0.2500 0.2500 0.2500
Ta 0.7500 0.7500 0.7500



Record 4
First-principles (SCAN) data for a crystal of Li3InPb relaxed with PBEsol, as listed in Alexandria.

Properties
magnetic moment = 0.00 μB per cell
space-group type = Pm-3m
energy relative to the elements = 0.00 eV/atom

Cell lengths 5.1373, 5.1373, 5.1373 Å; angles 90.00, 90.00, 90.00 degrees
Fractional positions:
Pb 0.0000 0.0000 0.0000
Li 0.0000 0.5000 0.0000
Li 0.0000 0.0000 0.5000
Li 0.5000 0.0000 0.0000
In 0.5000 0.5000 0.5000